The following is a GGA-PBE calculation of BaZn2Ag2 after structural relaxation, from Alexandria.

a b c (Å): 8.353 8.353 3.170
angles (deg): 90.00 90.00 90.00
Space group P4/mbm (No. 127)
Symmetry-distinct sites (fractional):
Ba 0.000 0.000 0.000 x2
Zn 0.157 0.343 0.500 x4
Ag 0.126 0.626 0.000 x4

Properties
- density (kg/m3) = 7266
- formation enthalpy at 0 K (eV/atom) = 0.0352
- raw total energy (eV per cell) = -20.0
- offset from the most stable computed form (meV/atom) = 230.2

=====

The following is a GGA-PBE calculation of BaCaY2C after structural relaxation, from Alexandria.

a b c (Å): 5.014 5.014 6.220
angles (deg): 90.00 90.00 90.00
Space group P4/mmm (No. 123)
Symmetry-distinct sites (fractional):
Ba 0.000 0.000 0.000 x1
Ca 0.500 0.500 0.000 x1
Y 0.000 0.500 0.500 x2
C 0.000 0.000 0.500 x1

Properties
- density (kg/m3) = 3900
- formation enthalpy at 0 K (eV/atom) = 0.1660
- raw total energy (eV per cell) = -25.2

=====

The following is a GGA-PBE calculation of Cr2Ni7Ru2 after structural relaxation, from Alexandria.

a b c (Å): 7.501 6.788 5.605
angles (deg): 90.00 110.50 90.00
Space group C2/m (No. 12)
Symmetry-distinct sites (fractional):
Cr 0.079 0.000 0.297 x4
Ni 0.000 0.500 0.500 x2
Ni 0.178 0.206 0.659 x8
Ni 0.248 0.500 0.967 x4
Ru 0.000 0.273 0.000 x4

Properties
- density (kg/m3) = 8908
- formation enthalpy at 0 K (eV/atom) = 0.2139
- raw total energy (eV per cell) = -151.8

=====

The following is a GGA-PBE calculation of LiPrErMn after structural relaxation, from Alexandria.

a b c (Å): 7.239 7.239 7.239
angles (deg): 90.00 90.00 90.00
Space group F-43m (No. 216)
Symmetry-distinct sites (fractional):
Li 0.000 0.000 0.000 x4
Pr 0.250 0.250 0.250 x4
Er 0.250 0.250 0.750 x4
Mn 0.000 0.000 0.500 x4

Properties
- density (kg/m3) = 6479
- formation enthalpy at 0 K (eV/atom) = 0.1497
- raw total energy (eV per cell) = -79.3

=====

The following is a GGA-PBE calculation of NaAlSiO4 after structural relaxation, from Alexandria.

a b c (Å): 7.416 7.416 7.416
angles (deg): 90.00 90.00 90.00
Space group P2_13 (No. 198)
Symmetry-distinct sites (fractional):
Na 0.229 0.271 0.729 x4
Al 0.217 0.717 0.783 x4
Si 0.022 0.022 0.022 x4
O 0.030 0.629 0.664 x12
O 0.148 0.148 0.148 x4

Properties
- density (kg/m3) = 2313
- raw total energy (eV per cell) = -198.0
- offset from the most stable computed form (meV/atom) = 12.1
- formation energy from raw total energies (eV/atom) = -2.740

=====

The following is a GGA-PBE calculation of MnSeSN2 after structural relaxation, from Alexandria.

a b c (Å): 3.673 3.673 6.090
angles (deg): 90.00 90.00 90.00
Space group P4/mmm (No. 123)
Symmetry-distinct sites (fractional):
Mn 0.000 0.000 0.000 x1
Se 0.500 0.500 0.500 x1
S 0.500 0.500 0.000 x1
N 0.000 0.500 0.500 x2

Properties
- density (kg/m3) = 3920
- raw total energy (eV per cell) = -26.7
- offset from the most stable computed form (meV/atom) = 620.1
- formation energy from raw total energies (eV/atom) = 1.341

=====

The following is a GGA-PBE calculation of NaBeBr2 after structural relaxation, from Alexandria.

a b c (Å): 6.096 6.096 13.059
angles (deg): 90.00 90.00 90.00
Space group I-42d (No. 122)
Symmetry-distinct sites (fractional):
Na 0.000 0.000 0.000 x4
Be 0.000 0.000 0.500 x4
Br 0.175 0.250 0.625 x8

Properties
- density (kg/m3) = 2625
- raw total energy (eV per cell) = -41.1
- offset from the most stable computed form (meV/atom) = 14.4
- formation energy from raw total energies (eV/atom) = -0.470

=====

The following is a GGA-PBE calculation of CrCoN2 after structural relaxation, from Alexandria.

a b c (Å): 5.757 2.678 5.292
angles (deg): 90.00 118.91 90.00
Space group Cm (No. 8)
Symmetry-distinct sites (fractional):
Cr 0.000 0.000 0.000 x2
Co 0.491 0.500 0.501 x2
N 0.369 0.000 0.180 x2
N 0.375 0.000 0.700 x2

Properties
- density (kg/m3) = 6461
- raw total energy (eV per cell) = -67.1
- offset from the most stable computed form (meV/atom) = 190.1
- formation energy from raw total energies (eV/atom) = -0.038